Compound: CaMg2Sb
Source: the Alexandria database
Functional: PBE-GGA
Structure: optimized geometry

Output
DOS at the Fermi energy (states/eV/f.u.): 1.6
Uncorrected formation energy (eV/atom): -0.420
Crystal system: tetragonal
Space group: P4/mmm (123)

Cell lengths 4.908, 4.543, 4.543 Å; angles 90.00, 90.00, 90.00 degrees
Atoms (fractional coordinates):
Ca1 0.500 0.000 0.500
Mg1 0.000 0.500 0.500
Mg2 0.000 0.000 0.000
Sb1 0.500 0.500 0.000

Compound: Li2Pm3Au7
Source: the Alexandria database
Functional: PBE-GGA
Structure: optimized geometry

Output
DOS at the Fermi energy (states/eV/f.u.): 6.0
E_tot (eV/atom): -4.01
Crystal system: orthorhombic
Space group: Cmmm (65)

Cell lengths 4.360, 4.691, 12.780 Å; angles 100.58, 90.00, 90.00 degrees
Atoms (fractional coordinates):
Au1 0.000 0.589 0.178
Au2 0.500 0.082 0.164
Au3 0.000 0.000 0.000
Au4 0.000 0.778 0.555
Au5 0.500 0.918 0.836
Au6 0.000 0.222 0.445
Au7 0.000 0.411 0.822
Li1 0.000 0.875 0.750
Li2 0.000 0.125 0.250
Pm1 0.500 0.681 0.362
Pm2 0.500 0.319 0.638
Pm3 0.500 0.500 0.000